A plane-wave DFT calculation with GGA-PBE was carried out for a relaxed structure of NbMo2Se2S4.

The magnetic moment is 0.0 μB/f.u. As for the total energy: -6.956 eV/atom. The calculation puts the formation energy without anion corrections at -0.821 eV/atom.

Cell: 3.278 3.278 21.335 Å, 90.00 90.00 120.00°
Atoms (fractional coordinates):
Nb  0.000  0.000  0.329
Mo  0.000  0.000  0.976
Mo  0.667  0.333  0.655
Se  0.667  0.333  0.412
Se  0.667  0.333  0.246
S  0.000  0.000  0.583
S  0.667  0.333  0.048
S  0.667  0.333  0.903
S  0.000  0.000  0.727

=====

A plane-wave DFT calculation with GGA-PBE was carried out for a relaxed structure of Cr2CoAg2S6.

The magnetic moment is 5.0 μB/f.u. As for the total energy: -5.587 eV/atom. The calculation puts the formation energy without anion corrections at -0.422 eV/atom.

Cell: 5.824 5.824 7.361 Å, 83.97 83.97 118.26°
Last column: magnetic moment on the atom in μB.
Atoms (fractional coordinates):
Cr  0.351  0.649  0.500  2.51
Cr  0.649  0.351  0.500  2.51
Co  0.000  0.000  0.500  0.11
Ag  0.843  0.157  0.000  0.00
Ag  0.157  0.843  0.000  0.00
S  0.644  0.644  0.688  -0.09
S  0.953  0.281  0.670  -0.06
S  0.356  0.356  0.312  -0.09
S  0.281  0.953  0.670  -0.06
S  0.047  0.719  0.330  -0.06
S  0.719  0.047  0.330  -0.06

=====

A plane-wave DFT calculation with GGA-PBE was carried out for a relaxed structure of InAgTe2Pd.

The magnetic moment is 0.0 μB/f.u. As for the total energy: -2.825 eV/atom. The calculation puts the formation energy without anion corrections at 0.588 eV/atom.

Cell: 5.450 5.232 5.450 Å, 90.00 90.00 90.00°
Atoms (fractional coordinates):
Te  0.000  0.000  0.500
Te  0.500  0.000  0.000
Pd  0.500  0.500  0.500
Ag  0.000  0.000  0.000
In  0.000  0.500  0.000

=====

A plane-wave DFT calculation with GGA-PBE was carried out for a relaxed structure of USCl2.

The magnetic moment is 2.0 μB/f.u. As for the total energy: -6.243 eV/atom. The calculation puts the formation energy without anion corrections at -1.465 eV/atom.

Cell: 4.125 5.143 7.104 Å, 111.23 106.90 90.00°
Last column: magnetic moment on the atom in μB.
Atoms (fractional coordinates):
U  0.500  0.009  0.000  2.08
S  0.500  0.509  0.000  -0.10
Cl  0.142  0.150  0.283  -0.03
Cl  0.858  0.868  0.717  -0.03

=====

A plane-wave DFT calculation with GGA-PBE was carried out for a relaxed structure of Zn2ReRu.

The magnetic moment is 0.0 μB/f.u. As for the total energy: -5.838 eV/atom. For the energy above the most stable polymorph in this dataset, the calculation gives 1.03 eV/f.u. The formation energy is 230 meV/atom.

Cell: 2.869 4.517 4.452 Å, 90.00 90.00 90.00°
Atoms (fractional coordinates):
Re  0.500  0.000  0.500
Ru  0.000  0.500  0.500
Zn  0.000  0.000  0.000
Zn  0.500  0.500  0.000

=====

A plane-wave DFT calculation with GGA-PBE was carried out for a relaxed structure of Tl7In12Sn.

The magnetic moment is 0.0 μB/f.u. As for the total energy: -2.566 eV/atom. The formation energy is 105 meV/atom.

Cell: 6.527 10.678 10.826 Å, 63.12 79.96 100.14°
Atoms (fractional coordinates):
Tl  0.862  0.182  0.180
Tl  0.994  0.831  0.360
Tl  0.345  0.368  0.811
Tl  0.500  0.000  0.000
Tl  0.655  0.632  0.189
Tl  0.006  0.169  0.640
Tl  0.138  0.818  0.820
In  0.761  0.502  0.972
In  0.271  0.028  0.471
In  0.377  0.196  0.144
In  0.505  0.843  0.343
In  0.746  0.487  0.508
In  0.843  0.331  0.816
In  0.157  0.669  0.184
In  0.254  0.513  0.492
In  0.495  0.157  0.657
In  0.623  0.804  0.856
In  0.729  0.972  0.529
In  0.239  0.498  0.028
Sn  0.000  0.000  0.000

=====

A plane-wave DFT calculation with GGA-PBE was carried out for a relaxed structure of SiTe2SeI.

The magnetic moment is 0.0 μB/f.u. As for the total energy: -2.735 eV/atom. For the energy above the most stable polymorph in this dataset, the calculation gives 0.00 eV/f.u. The calculation puts the formation energy without anion corrections at 0.613 eV/atom.

Cell: 5.380 5.380 5.219 Å, 90.00 90.00 90.00°
Atoms (fractional coordinates):
I  0.000  0.000  0.500
Si  0.000  0.000  0.000
Te  0.000  0.500  0.000
Te  0.500  0.000  0.000
Se  0.500  0.500  0.500

=====

A plane-wave DFT calculation with GGA-PBE was carried out for a relaxed structure of UTa2Mn.

The magnetic moment is 0.0 μB/f.u. As for the total energy: -10.928 eV/atom. The formation energy is 112 meV/atom.

Cell: 2.995 2.995 7.822 Å, 90.00 90.00 90.00°
Atoms (fractional coordinates):
Mn  0.500  0.500  0.000
U  0.500  0.500  0.500
Ta  0.000  0.000  0.801
Ta  0.000  0.000  0.199

=====

Repeat the fourth record exactly.
A plane-wave DFT calculation with GGA-PBE was carried out for a relaxed structure of USCl2.

The magnetic moment is 2.0 μB/f.u. As for the total energy: -6.243 eV/atom. The calculation puts the formation energy without anion corrections at -1.465 eV/atom.

Cell: 4.125 5.143 7.104 Å, 111.23 106.90 90.00°
Last column: magnetic moment on the atom in μB.
Atoms (fractional coordinates):
U  0.500  0.009  0.000  2.08
S  0.500  0.509  0.000  -0.10
Cl  0.142  0.150  0.283  -0.03
Cl  0.858  0.868  0.717  -0.03

=====

Among the records above, which one has the highest magnetic moment?
Cr2CoAg2S6